Record 1
{
  "formula": "Cs3Pa2S7",
  "functional": "PBE",
  "state": "relaxed",
  "total_magnetization_mub_per_cell": 0.00,
  "dos_ef_per_ev_fu": 6.45,
  "formation_energy_uncorrected_mev_per_atom": -1438,
  "space_group": "Cmmm, No. 65",
  "cell": [[5.3175, 0.0000, 0.0000], [0.0000, 5.3529, 0.0000], [0.0000, -2.6765, 14.0091]],
  "species": ["Pa", "Pa", "Cs", "Cs", "Cs", "S", "S", "S", "S", "S", "S", "S"],
  "fractional_positions": [[0.0000, 0.9038, 0.8077], [0.0000, 0.0962, 0.1923], [0.5000, 0.5000, 0.0000], [0.5000, 0.3134, 0.6268], [0.5000, 0.6866, 0.3732], [0.5000, 0.0938, 0.1876], [0.0000, 0.8143, 0.6287], [0.0000, 0.0000, 0.0000], [0.0000, 0.5940, 0.1880], [0.0000, 0.1857, 0.3713], [0.5000, 0.9062, 0.8124], [0.0000, 0.4060, 0.8120]]
}

Record 2
{
  "formula": "CrCo2",
  "functional": "PBE",
  "state": "relaxed",
  "formation_energy_ev_per_atom": 0.0609,
  "total_magnetization_mub_per_cell": 0.00,
  "dos_ef_per_ev_fu": 4.10,
  "space_group": "Cmcm, No. 63",
  "cell": [[-0.4018, -4.9585, 2.3969], [0.6599, 2.5090, -4.8747], [3.4750, -0.0721, 0.4333]],
  "species": ["Cr", "Cr", "Co", "Co", "Co", "Co"],
  "fractional_positions": [[0.9112, 0.0888, 0.2500], [0.0888, 0.9112, 0.7500], [0.7491, 0.2509, 0.7500], [0.2509, 0.7491, 0.2500], [0.4190, 0.5810, 0.7500], [0.5810, 0.4190, 0.2500]]
}

Record 3
{
  "formula": "RbCe2Br8",
  "functional": "PBE",
  "state": "relaxed",
  "total_magnetization_mub_per_cell": 1.02,
  "dos_ef_per_ev_fu": 10.62,
  "formation_energy_uncorrected_mev_per_atom": -1693,
  "space_group": "C2/m, No. 12",
  "cell": [[-3.3730, -3.3443, -3.3993], [-3.1910, -2.6288, 7.0666], [-3.2733, 7.1018, -2.4249]],
  "species": ["Br", "Br", "Br", "Br", "Br", "Br", "Br", "Br", "Ce", "Ce", "Rb"],
  "fractional_positions": [[0.9271, 0.6722, 0.9452], [0.7227, 0.4041, 0.4041], [0.9271, 0.9452, 0.6722], [0.5000, 0.7390, 0.2610], [0.2773, 0.5959, 0.5959], [0.5000, 0.2610, 0.7390], [0.0729, 0.0548, 0.3278], [0.0729, 0.3278, 0.0548], [0.0000, 0.3201, 0.6799], [0.0000, 0.6799, 0.3201], [0.5000, 0.0000, 0.0000]]
}

Record 4
{
  "formula": "Cs2TmTcO6",
  "functional": "PBE",
  "state": "relaxed",
  "total_magnetization_mub_per_cell": 0.00,
  "formation_energy_uncorrected_mev_per_atom": -1907,
  "space_group": "P-3m1, No. 164",
  "cell": [[-0.9906, -5.3710, -1.5080], [3.0274, -2.1141, 5.5413], [-6.5501, 1.1983, 0.0347]],
  "species": ["O", "O", "O", "O", "O", "O", "Tm", "Cs", "Cs", "Tc"],
  "fractional_positions": [[0.7919, 0.1310, 0.2620], [0.2081, 0.8690, 0.1310], [0.2081, 0.8690, 0.7380], [0.2081, 0.2620, 0.1310], [0.7919, 0.7380, 0.8690], [0.7919, 0.1310, 0.8690], [0.5000, 0.0000, 0.0000], [0.8465, 0.6667, 0.3333], [0.1535, 0.3333, 0.6667], [0.0000, 0.0000, 0.0000]]
}

Record 5
{
  "formula": "Ac4Cd3Ge5",
  "functional": "PBE",
  "state": "relaxed",
  "formation_energy_ev_per_atom": -0.3293,
  "total_magnetization_mub_per_cell": 0.00,
  "dos_ef_per_ev_fu": 4.99,
  "space_group": "C2/m, No. 12",
  "cell": [[-0.2469, -4.4534, -1.8228], [6.0527, -4.1850, 3.0363], [-5.4476, -5.5108, 7.8333]],
  "species": ["Ge", "Ge", "Ge", "Ge", "Ge", "Cd", "Cd", "Cd", "Ac", "Ac", "Ac", "Ac"],
  "fractional_positions": [[0.4338, 0.0090, 0.1233], [0.5662, 0.9910, 0.8767], [0.2624, 0.3330, 0.1422], [0.5000, 0.5000, 0.5000], [0.7376, 0.6670, 0.8578], [0.5994, 0.1647, 0.6365], [0.0000, 0.5000, 0.5000], [0.4006, 0.8353, 0.3634], [0.8941, 0.2703, 0.9416], [0.7459, 0.1881, 0.3201], [0.2541, 0.8119, 0.6799], [0.1059, 0.7297, 0.0584]]
}

Record 6
{
  "formula": "Ac2AlGe6Pt",
  "functional": "PBE",
  "state": "relaxed",
  "formation_energy_ev_per_atom": -0.3946,
  "total_magnetization_mub_per_cell": 0.00,
  "dos_ef_per_ev_fu": 4.68,
  "space_group": "R-3m, No. 166",
  "cell": [[-3.6822, 0.4264, 5.4390], [-6.5405, -0.6224, -0.3965], [-2.3623, -12.1016, 3.3321]],
  "species": ["Ac", "Ac", "Ac", "Ac", "Ge", "Ge", "Ge", "Ge", "Ge", "Ge", "Ge", "Ge", "Ge", "Ge", "Ge", "Ge", "Al", "Al", "Pt", "Pt"],
  "fractional_positions": [[0.2914, 0.2914, 0.1258], [0.1148, 0.1148, 0.6557], [0.8852, 0.8852, 0.3443], [0.7086, 0.7086, 0.8742], [0.3533, 0.7629, 0.1210], [0.6683, 0.6683, 0.6022], [0.2371, 0.2371, 0.8790], [0.9387, 0.3317, 0.3978], [0.6467, 0.2371, 0.8790], [0.3317, 0.9387, 0.3978], [0.2371, 0.6467, 0.8790], [0.0613, 0.6683, 0.6022], [0.7629, 0.7629, 0.1210], [0.3317, 0.3317, 0.3978], [0.6683, 0.0613, 0.6022], [0.7629, 0.3533, 0.1210], [0.5000, 0.5000, 0.5000], [0.0000, 0.0000, 0.0000], [0.4326, 0.4326, 0.7021], [0.5674, 0.5674, 0.2979]]
}